A plane-wave DFT calculation with PBE-GGA was carried out for crystalline Na2Sr3PuO6 at its relaxed geometry.

Summary:
Symmetry   C2/m (12)
Spin magnetization   4.00 μB per formula unit
Calculated volume   191 Å³/cell
E_form (uncorrected)   -29.9 eV per formula unit
Raw total energy   -6.803 eV per atom

Cell lengths 6.1907, 6.1907, 6.0908 Å; angles 99.77, 99.77, 119.80 degrees
With the nearest neighbours (Å) after each atom.
Element x y z (fractional)
Na  0.1660  0.8340  0.0000  6 O 2.58
Na  0.8340  0.1660  0.0000  6 O 2.58
Sr  0.0000  0.0000  0.5000  4 O 2.47
Sr  0.3266  0.6734  0.5000  6 O 2.48-2.67
Sr  0.6734  0.3266  0.5000  6 O 2.48-2.67
Pu  0.5000  0.5000  0.0000  6 O 2.26-2.31
O  0.1209  0.4203  0.7606  1 Pu 2.31, 2 Sr 2.47-2.48, 2 Na 2.58
O  0.2859  0.2859  0.2356  1 Pu 2.26, 2 Sr 2.52
O  0.4203  0.1209  0.7606  1 Pu 2.31, 2 Sr 2.47-2.48, 2 Na 2.58
O  0.5797  0.8791  0.2394  1 Pu 2.31, 2 Sr 2.47-2.48, 2 Na 2.58
O  0.7141  0.7141  0.7644  1 Pu 2.26, 2 Sr 2.52
O  0.8791  0.5797  0.2394  1 Pu 2.31, 2 Sr 2.47-2.48, 2 Na 2.58